Record 1
## NaUTl2Cl6 (GGA-PBE)

Data for NaUTl2Cl6 after structural relaxation.

Unit cell a=7.6207 b=7.6207 c=7.7172 alpha=120.19 beta=120.19 gamma=60.33
Positions (direct):
Na: 0.0000 0.0000 0.0000
U: 0.5000 0.5000 0.5000
Tl: 0.2537 0.2537 0.7816
Tl: 0.7463 0.7463 0.2184
Cl: 0.1913 0.6892 0.1960
Cl: 0.2552 0.2552 0.3608
Cl: 0.3108 0.8087 0.8040
Cl: 0.6892 0.1913 0.1960
Cl: 0.7448 0.7448 0.6392
Cl: 0.8087 0.3108 0.8040

Calculated values
* formation energy without anion corrections: -14.5 eV/f.u.
* magnetization: 3.00 μB/f.u.
* Fermi-level density of states: 4.5 states/eV/cell



Record 2
## Ca2ZnOs (GGA-PBE)

Data for Ca2ZnOs after structural relaxation.

Unit cell a=4.2507 b=4.2507 c=19.9537 alpha=90.00 beta=90.00 gamma=90.00
Positions (direct):
Ca: 0.2410 0.2500 0.1250
Ca: 0.2500 0.7410 0.3750
Ca: 0.2500 0.7590 0.8750
Ca: 0.2590 0.2500 0.6250
Ca: 0.7410 0.7500 0.6250
Ca: 0.7500 0.2410 0.8750
Ca: 0.7500 0.2590 0.3750
Ca: 0.7590 0.7500 0.1250
Zn: 0.0000 0.0000 0.5000
Zn: 0.0000 0.5000 0.7500
Zn: 0.5000 0.0000 0.2500
Zn: 0.5000 0.5000 0.0000
Os: 0.0000 0.0000 0.0000
Os: 0.0000 0.5000 0.2500
Os: 0.5000 0.0000 0.7500
Os: 0.5000 0.5000 0.5000

Calculated values
* magnetization: 1.01 μB/f.u.
* energy of formation from the pure elements: 0.842 eV/atom
* Fermi-level density of states: 11.9 states/eV/cell